1 | CdHg2B: relaxed, PBE. Values from VASP.

## Properties
The symmetry is I-42d (122). As for the density of states at the Fermi level: 0.4575 states/eV per atom.

Cell and atoms, written as Quantum ESPRESSO input:
```
&SYSTEM
  ibrav = 0, nat = 8, ntyp = 3
/
ATOMIC_SPECIES
Cd 112.41 Cd.upf
B 10.81 B.upf
Hg 200.59 Hg.upf
ATOMIC_POSITIONS crystal
Cd 0.7500 0.2500 0.5000
B 0.2500 0.7500 0.5000
Hg 0.3750 0.5085 0.7500
Hg 0.8750 0.7415 0.7500
Hg 0.4915 0.1250 0.2500
Hg 0.2585 0.6250 0.2500
B 0.5000 0.5000 0.0000
Cd 0.0000 0.0000 0.0000
CELL_PARAMETERS angstrom
-0.0401 1.7971 5.8916
-5.3272 -2.9678 0.8690
0.1616 -5.2684 4.8281
```

***

2 | CdHg2B: relaxed, PBE. Values from VASP.

## Properties
The symmetry is Fm-3m (225). As for the density of states at the Fermi level: 0.6121 states/eV per atom.

Cell and atoms, written as Quantum ESPRESSO input:
```
&SYSTEM
  ibrav = 0, nat = 4, ntyp = 3
/
ATOMIC_SPECIES
B 10.81 B.upf
Hg 200.59 Hg.upf
Cd 112.41 Cd.upf
ATOMIC_POSITIONS crystal
B 0.0000 0.0000 0.0000
Hg 0.7500 0.7500 0.7500
Cd 0.5000 0.5000 0.5000
Hg 0.2500 0.2500 0.2500
CELL_PARAMETERS angstrom
-2.4135 0.6684 4.1839
-3.4895 3.3938 0.2863
-4.6761 -1.3352 0.3573
```

***

Which of them is most stable, and which least? Most stable: 1; least stable: 2.

***

1 | Cd2HgB: relaxed, PBE. Values from VASP.

## Properties
The symmetry is I-42d (122). As for the density of states at the Fermi level: 0.9067 states/eV per atom.

Cell and atoms, written as Quantum ESPRESSO input:
```
&SYSTEM
  ibrav = 0, nat = 8, ntyp = 3
/
ATOMIC_SPECIES
Cd 112.41 Cd.upf
Hg 200.59 Hg.upf
B 10.81 B.upf
ATOMIC_POSITIONS crystal
Cd 0.4695 0.1250 0.2500
Cd 0.3750 0.5305 0.7500
Cd 0.2805 0.6250 0.2500
Cd 0.8750 0.7195 0.7500
Hg 0.0000 0.0000 0.0000
B 0.5000 0.5000 0.0000
B 0.2500 0.7500 0.5000
Hg 0.7500 0.2500 0.5000
CELL_PARAMETERS angstrom
-3.2578 -5.2341 -1.2302
-0.0831 -1.3893 6.1308
-6.6304 -0.3656 3.0506
```

***

2 | Cd2HgB: relaxed, PBE. Values from VASP.

## Properties
The symmetry is Fm-3m (225). As for the density of states at the Fermi level: 0.5591 states/eV per atom.

Cell and atoms, written as Quantum ESPRESSO input:
```
&SYSTEM
  ibrav = 0, nat = 4, ntyp = 3
/
ATOMIC_SPECIES
Hg 200.59 Hg.upf
Cd 112.41 Cd.upf
B 10.81 B.upf
ATOMIC_POSITIONS crystal
Hg 0.5000 0.5000 0.5000
Cd 0.2500 0.2500 0.2500
Cd 0.7500 0.7500 0.7500
B 0.0000 0.0000 0.0000
CELL_PARAMETERS angstrom
0.0000 3.3996 3.3996
3.3996 0.0000 3.3996
3.3996 3.3996 0.0000
```

***

Which of them is most stable, and which least? Most stable: 1; least stable: 2.

***

1 | ScCdHg2B: relaxed, PBE. Values from VASP.

## Properties
The symmetry is P4/mmm (123). As for the density of states at the Fermi level: 1.0254 states/eV per atom.

Cell and atoms, written as Quantum ESPRESSO input:
```
&SYSTEM
  ibrav = 0, nat = 5, ntyp = 4
/
ATOMIC_SPECIES
Hg 200.59 Hg.upf
B 10.81 B.upf
Sc 44.96 Sc.upf
Cd 112.41 Cd.upf
ATOMIC_POSITIONS crystal
Hg 0.5000 0.0000 0.0000
B 0.5000 0.5000 0.5000
Hg 0.0000 0.0000 0.5000
Sc 0.0000 0.5000 0.0000
Cd 0.0000 0.0000 0.0000
CELL_PARAMETERS angstrom
5.2385 0.0000 0.0000
0.0000 5.5234 0.0000
0.0000 0.0000 5.2385
```

***

2 | ScCdHg2B: relaxed, PBE. Values from VASP.

## Properties
The symmetry is P4/mmm (123). As for the density of states at the Fermi level: 0.7638 states/eV per atom.

Cell and atoms, written as Quantum ESPRESSO input:
```
&SYSTEM
  ibrav = 0, nat = 5, ntyp = 4
/
ATOMIC_SPECIES
Hg 200.59 Hg.upf
Cd 112.41 Cd.upf
B 10.81 B.upf
Sc 44.96 Sc.upf
ATOMIC_POSITIONS crystal
Hg 0.5000 0.0000 0.0000
Cd 0.0000 0.5000 0.0000
B 0.0000 0.0000 0.0000
Sc 0.5000 0.5000 0.5000
Hg 0.0000 0.0000 0.5000
CELL_PARAMETERS angstrom
4.7652 0.0000 0.0000
0.0000 4.4607 0.0000
0.0000 0.0000 4.7652
```

***

Which of them is most stable, and which least? Most stable: 2; least stable: 1.

***

1 | CdB3I: relaxed, PBE. Values from VASP.

## Properties
The symmetry is Pm-3m (221). As for the density of states at the Fermi level: 0.5125 states/eV per atom.

Cell and atoms, written as Quantum ESPRESSO input:
```
&SYSTEM
  ibrav = 0, nat = 5, ntyp = 3
/
ATOMIC_SPECIES
B 10.81 B.upf
Cd 112.41 Cd.upf
I 126.90 I.upf
ATOMIC_POSITIONS crystal
B 0.0000 0.0000 0.5000
Cd 0.5000 0.5000 0.5000
B 0.0000 0.5000 0.0000
I 0.0000 0.0000 0.0000
B 0.5000 0.0000 0.0000
CELL_PARAMETERS angstrom
-1.3039 0.3954 4.2802
-0.6838 -4.4349 0.2014
4.2437 -0.5931 1.3475
```

***

2 | CdB3I: relaxed, PBE. Values from VASP.

## Properties
The symmetry is Pm-3m (221). As for the density of states at the Fermi level: 0.4754 states/eV per atom.

Cell and atoms, written as Quantum ESPRESSO input:
```
&SYSTEM
  ibrav = 0, nat = 5, ntyp = 3
/
ATOMIC_SPECIES
I 126.90 I.upf
B 10.81 B.upf
Cd 112.41 Cd.upf
ATOMIC_POSITIONS crystal
I 0.5000 0.5000 0.5000
B 0.5000 0.0000 0.0000
Cd 0.0000 0.0000 0.0000
B 0.0000 0.0000 0.5000
B 0.0000 0.5000 0.0000
CELL_PARAMETERS angstrom
4.5996 0.0000 0.0000
0.0000 4.5996 0.0000
0.0000 0.0000 4.5996
```

***

Which of them is most stable, and which least? Most stable: 2; least stable: 1.